Record 1
LiGaC: optimized geometry, PBE.

Values from the calculation:
- E_form: 0.176 eV/atom
- Energy: -27.27 eV per cell

Lattice parameters (Å, degrees): 4.5263 3.2979 5.2992 90.00 102.57 90.00
Space group Pm (No. 6)
Symmetry-distinct sites (fractional):
Li: 0.0000 0.0000 0.0000 x1
Li: 0.4112 0.5000 0.3336 x1
Ga: 0.4759 0.0000 0.7755 x1
Ga: 0.9468 0.0000 0.4801 x1
C: 0.6449 0.5000 0.9999 x1
C: 0.8607 0.5000 0.2307 x1

***

Record 2
InTcRh2: optimized geometry, PBE.

Values from the calculation:
- E_form: 0.021 eV/atom
- Energy: -55.45 eV per cell

Lattice parameters (Å, degrees): 9.1123 2.8179 4.9490 90.00 98.69 90.00
Space group C2/m (No. 12)
Symmetry-distinct sites (fractional):
In: 0.0000 0.0000 0.0000 x2
Tc: 0.0000 0.5000 0.5000 x2
Rh: 0.2463 0.0000 0.7328 x4

***

Record 3
TlPd2Pb: optimized geometry, PBE.

Values from the calculation:
- E_form: -0.078 eV/atom
- Energy: -50.31 eV per cell

Lattice parameters (Å, degrees): 3.3836 3.3836 25.5037 90.00 90.00 120.00
Space group R3m (No. 160, hexagonal axes)
Symmetry-distinct sites (fractional):
Tl: 0.0000 0.0000 0.0000 x3
Pd: 0.0000 0.0000 0.2511 x3
Pd: 0.0000 0.0000 0.4153 x3
Pb: 0.0000 0.0000 0.8329 x3

***

Record 4
Ir8OsRu3: optimized geometry, PBE.

Values from the calculation:
- E_form: 1.321 eV/atom
- Energy: -188.18 eV per cell

Lattice parameters (Å, degrees): 7.1320 7.1320 11.2940 90.00 90.00 90.00
Space group I-42m (No. 121)
Symmetry-distinct sites (fractional):
Ir: 0.1341 0.1341 0.3240 x8
Ir: 0.1347 0.1347 0.8244 x8
Os: 0.0000 0.0000 0.0000 x2
Ru: 0.0000 0.0000 0.5000 x2
Ru: 0.0000 0.5000 0.2500 x4

***

Record 5
NaCa2SiI: optimized geometry, PBE.

Values from the calculation:
- Formation energy without anion corrections: -0.480 eV per atom
- Energy: -14.70 eV per cell

Lattice parameters (Å, degrees): 5.7128 5.7128 5.5436 90.00 90.00 90.00
Space group P4/mmm (No. 123)
Symmetry-distinct sites (fractional):
Na: 0.0000 0.0000 0.0000 x1
Ca: 0.0000 0.5000 0.5000 x2
Si: 0.0000 0.0000 0.5000 x1
I: 0.5000 0.5000 0.0000 x1

***

Record 6
Er2HfZn: optimized geometry, PBE.

Values from the calculation:
- E_form: 0.306 eV/atom
- Energy: -57.38 eV per cell

Lattice parameters (Å, degrees): 3.2309 3.2309 33.5043 90.00 90.00 120.00
Space group R-3m (No. 166, hexagonal axes)
Symmetry-distinct sites (fractional):
Er: 0.0000 0.0000 0.0958 x6
Hf: 0.0000 0.0000 0.0000 x3
Zn: 0.0000 0.0000 0.5000 x3